# 1
Below is a relaxed Rb2ZrF6 crystal, with properties calculated at the PBE-GGA level.

VASP energy: -5.694 eV/atom
Crystal system: monoclinic
SG: C2/c

Geometry as extended XYZ:
```
18
Lattice="3.263 -5.586 0.000 3.263 5.586 0.000 -0.214 0.000 6.898" Properties=species:S:1:pos:R:3 pbc="T T T"
F 3.037 4.447 0.332
F 1.968 -3.373 1.529
F 1.864 -0.161 1.549
F 4.556 -0.161 1.900
F 4.452 -3.373 1.920
F 3.382 4.447 3.117
F 2.930 -4.447 3.780
F 1.861 3.373 4.978
F 1.757 0.161 4.998
F 4.449 0.161 5.348
F 4.345 3.373 5.369
F 3.275 -4.447 6.566
Rb 3.112 1.724 0.017
Rb 3.308 1.724 3.431
Rb 3.005 -1.724 3.466
Rb 3.201 -1.724 6.880
Zr 3.210 -5.043 1.724
Zr 3.103 5.043 5.173
```

# 2
Below is a relaxed PuMgSb2 crystal, with properties calculated at the PBE-GGA level.

VASP energy: -6.533 eV/atom
Crystal system: tetragonal
SG: P4/nmm

Geometry as extended XYZ:
```
8
Lattice="4.406 0.000 0.000 0.000 4.406 0.000 0.000 0.000 10.655" Properties=species:S:1:pos:R:3 pbc="T T T"
Mg 0.000 0.000 0.000
Mg 2.203 2.203 0.000
Pu 0.000 2.203 2.937
Pu 2.203 0.000 7.718
Sb 2.203 0.000 1.979
Sb 0.000 0.000 5.328
Sb 2.203 2.203 5.328
Sb 0.000 2.203 8.676
```

# 3
Below is a relaxed Nd3Ga2N4 crystal, with properties calculated at the PBE-GGA level.

VASP energy: -6.541 eV/atom
Crystal system: monoclinic
SG: C2/c

Geometry as extended XYZ:
```
18
Lattice="-0.921 -3.434 -6.164 -4.337 -5.457 1.429 -4.347 3.256 -1.088" Properties=species:S:1:pos:R:3 pbc="T T T"
Ga -3.728 -5.737 -4.366
Ga -2.885 -1.040 -2.734
Ga -6.721 -4.595 -3.089
Ga -5.878 0.103 -1.457
N -3.197 -3.907 0.603
N -1.711 -2.545 -2.241
N -5.161 -4.386 -4.284
N -6.414 -4.646 -1.041
N -3.192 -0.989 -4.782
N -4.445 -1.249 -1.539
N -7.895 -3.090 -3.582
N -6.410 -1.727 -6.427
Nd -0.932 -2.643 -4.625
Nd -3.981 -3.788 -2.051
Nd -4.026 -3.154 -6.153
Nd -5.580 -2.481 0.330
Nd -5.625 -1.847 -3.772
Nd -8.674 -2.992 -1.198
```